Density functional theory data (PBE) for a relaxed BeGaIrW2 crystal.

Cell lengths 4.635, 4.635, 3.820 Å; angles 90.00, 90.00, 90.00 degrees
Positions (direct):
Be: 0.000 0.000 0.000
Ga: 0.000 0.000 0.500
Ir: 0.500 0.500 0.000
W: 0.000 0.500 0.500
W: 0.500 0.000 0.500

Output
DFT total energy = -0.495 Ry per atom
Total magnetization = 1.34 μB per formula unit